An optimized crystal structure of Ca2CdGaIr. Source: Alexandria, functional PBE-GGA.

a b c (Å): 5.5165 5.5165 4.7903
angles (deg): 90.00 90.00 90.00
Positions (direct):
Ca  0.5000  0.0000  0.0000
Ca  0.0000  0.5000  0.0000
Ir  0.0000  0.0000  0.0000
Cd  0.5000  0.5000  0.5000
Ga  0.0000  0.0000  0.5000

Output
Its crystal system is tetragonal. For the energy of formation, the calculation gives -297 meV/atom. Its space group is No. 123.



An optimized crystal structure of KTe2Os. Source: Alexandria, functional PBE-GGA.

a b c (Å): 4.1588 4.1588 7.9548
angles (deg): 74.92 74.92 59.98
Positions (direct):
Os  0.2500  0.2500  0.2500
K  0.7500  0.7500  0.7500
Te  0.5277  0.5277  0.4175
Te  0.9723  0.9723  0.0825

Output
The value obtained for the polymorph energy (0 for the lowest one) is 0 meV per atom. Its crystal system is monoclinic. The value obtained for the energy relative to the elements, uncorrected is -0.168 eV/atom. Its space group is No. 12.



The following volume values (in Å³ per cell) correspond, in order, to the records above: 145.78 113.62.